This record from OQMD via LeMat-Bulk describes a relaxed TaTlCd2 crystal. The functional is GGA-PBE.

a = 4.9617 Å, b = 4.9617 Å, c = 4.9617 Å
α = 60.00°, β = 60.00°, γ = 60.00°
Last column: nearest neighbours and their distance in Å.
Sites, in units of the cell vectors:
Ta 0.0000 0.0000 0.0000  4 Cd 3.04, 4 Tl 3.04
Tl 0.7500 0.7500 0.7500  4 Cd 3.04, 4 Ta 3.04
Cd 0.2500 0.2500 0.2500  4 Cd 3.04, 4 Ta 3.04
Cd 0.5000 0.5000 0.5000  4 Cd 3.04, 4 Tl 3.04

Properties
SG: F-43m
Raw total energy, eV per atom: -3.29